Record 1
Here is a relaxed VZnCuOs crystal from the Alexandria database. Energies are from PBE-GGA.

Calculated values
**M_tot**: 0.01 μB/cell
**D(E_F)**: 0.843 states/eV/atom
**Energy relative to the elements**: 0.052 eV per atom
**Space group**: F-43m

Lattice parameters (Å, degrees): 5.998 5.998 5.998 90.00 90.00 90.00
Fractional positions:
V: 0.000 0.000 0.000
V: 0.000 0.500 0.500
V: 0.500 0.000 0.500
V: 0.500 0.500 0.000
Zn: 0.000 0.000 0.500
Zn: 0.000 0.500 0.000
Zn: 0.500 0.000 0.000
Zn: 0.500 0.500 0.500
Cu: 0.250 0.250 0.250
Cu: 0.250 0.750 0.750
Cu: 0.750 0.250 0.750
Cu: 0.750 0.750 0.250
Os: 0.250 0.250 0.750
Os: 0.250 0.750 0.250
Os: 0.750 0.250 0.250
Os: 0.750 0.750 0.750


Record 2
Here is a relaxed LiTmGeRu crystal from the Alexandria database. Energies are from PBE-GGA.

Calculated values
**M_tot**: 0.00 μB/cell
**D(E_F)**: 0.806 states/eV/atom
**Energy relative to the elements**: -0.388 eV per atom
**Space group**: F-43m

Lattice parameters (Å, degrees): 6.405 6.405 6.405 90.00 90.00 90.00
Fractional positions:
Li: 0.000 0.000 0.000
Li: 0.000 0.500 0.500
Li: 0.500 0.000 0.500
Li: 0.500 0.500 0.000
Tm: 0.250 0.250 0.750
Tm: 0.250 0.750 0.250
Tm: 0.750 0.250 0.250
Tm: 0.750 0.750 0.750
Ge: 0.250 0.250 0.250
Ge: 0.250 0.750 0.750
Ge: 0.750 0.250 0.750
Ge: 0.750 0.750 0.250
Ru: 0.000 0.000 0.500
Ru: 0.000 0.500 0.000
Ru: 0.500 0.000 0.000
Ru: 0.500 0.500 0.500


Record 3
Here is a relaxed FeRuRh crystal from the Alexandria database. Energies are from PBE-GGA.

Calculated values
**M_tot**: 2.03 μB/cell
**D(E_F)**: 1.036 states/eV/atom
**Energy relative to the elements**: 0.141 eV per atom
**Space group**: P-6m2

Lattice parameters (Å, degrees): 4.212 4.212 2.634 90.00 90.00 120.00
Fractional positions:
Fe: 0.000 0.000 0.000
Ru: 0.667 0.333 0.500
Rh: 0.333 0.667 0.000


Record 4
Here is a relaxed Zr6AlGa crystal from the Alexandria database. Energies are from PBE-GGA.

Calculated values
**M_tot**: 0.00 μB/cell
**D(E_F)**: 0.748 states/eV/atom
**Energy relative to the elements**: -0.296 eV per atom
**Space group**: P-6m2

Lattice parameters (Å, degrees): 6.182 6.182 5.084 90.00 90.00 120.00
Fractional positions:
Zr: 0.009 0.504 0.000
Zr: 0.324 0.162 0.500
Zr: 0.496 0.504 0.000
Zr: 0.496 0.991 0.000
Zr: 0.838 0.162 0.500
Zr: 0.838 0.676 0.500
Al: 0.333 0.667 0.500
Ga: 0.000 0.000 0.000


Record 5
Here is a relaxed SmDy4HoEr2 crystal from the Alexandria database. Energies are from PBE-GGA.

Calculated values
**M_tot**: 0.00 μB/cell
**D(E_F)**: 1.332 states/eV/atom
**Energy relative to the elements**: 0.019 eV per atom
**Space group**: P4/mmm

Lattice parameters (Å, degrees): 5.003 5.003 10.015 90.00 90.00 90.00
Fractional positions:
Sm: 0.000 0.000 0.000
Dy: 0.000 0.500 0.251
Dy: 0.000 0.500 0.749
Dy: 0.500 0.000 0.251
Dy: 0.500 0.000 0.749
Ho: 0.500 0.500 0.500
Er: 0.000 0.000 0.500
Er: 0.500 0.500 0.000


Record 6
Here is a relaxed Hf3AgBr crystal from the Alexandria database. Energies are from PBE-GGA.

Calculated values
**E_form (uncorrected)**: 1.0697 eV/atom
**M_tot**: 1.96 μB/cell
**D(E_F)**: 0.860 states/eV/atom
**Space group**: Pm-3m

Lattice parameters (Å, degrees): 5.171 5.171 5.171 90.00 90.00 90.00
Fractional positions:
Hf: 0.000 0.000 0.500
Hf: 0.000 0.500 0.000
Hf: 0.500 0.000 0.000
Ag: 0.000 0.000 0.000
Br: 0.500 0.500 0.500


Record 7
Here is a relaxed NaIn2SbBr6 crystal from the Alexandria database. Energies are from PBE-GGA.

Calculated values
**E_form (uncorrected)**: -0.8140 eV/atom
**M_tot**: 0.00 μB/cell
**D(E_F)**: 0.000 states/eV/atom
**Space group**: P2_1/c

Lattice parameters (Å, degrees): 7.530 8.235 13.269 90.00 123.55 90.00
Fractional positions:
Na: 0.000 0.000 0.000
Na: 0.000 0.500 0.500
In: 0.214 0.089 0.749
In: 0.214 0.411 0.249
In: 0.786 0.589 0.751
In: 0.786 0.911 0.251
Sb: 0.500 0.000 0.500
Sb: 0.500 0.500 0.000
Br: 0.139 0.181 0.450
Br: 0.139 0.319 0.950
Br: 0.270 0.704 0.444
Br: 0.270 0.796 0.944
Br: 0.372 0.032 0.256
Br: 0.372 0.468 0.756
Br: 0.628 0.532 0.244
Br: 0.628 0.968 0.744
Br: 0.730 0.204 0.056
Br: 0.730 0.296 0.556
Br: 0.861 0.681 0.050
Br: 0.861 0.819 0.550


Record 8
Here is a relaxed Er6TlCd crystal from the Alexandria database. Energies are from PBE-GGA.

Calculated values
**M_tot**: 0.00 μB/cell
**D(E_F)**: 1.093 states/eV/atom
**Energy relative to the elements**: -0.158 eV per atom
**Space group**: I4/mmm

Lattice parameters (Å, degrees): 5.020 5.020 18.195 90.00 90.00 90.00
Fractional positions:
Er: 0.000 0.000 0.249
Er: 0.000 0.000 0.751
Er: 0.000 0.500 0.116
Er: 0.000 0.500 0.384
Er: 0.000 0.500 0.616
Er: 0.000 0.500 0.884
Er: 0.500 0.000 0.116
Er: 0.500 0.000 0.384
Er: 0.500 0.000 0.616
Er: 0.500 0.000 0.884
Er: 0.500 0.500 0.251
Er: 0.500 0.500 0.749
Tl: 0.000 0.000 0.500
Tl: 0.500 0.500 0.000
Cd: 0.000 0.000 0.000
Cd: 0.500 0.500 0.500


Record 9
Here is a relaxed RbCdInAg crystal from the Alexandria database. Energies are from PBE-GGA.

Calculated values
**M_tot**: 0.00 μB/cell
**D(E_F)**: 0.428 states/eV/atom
**Energy relative to the elements**: -0.063 eV per atom
**Space group**: Cm

Lattice parameters (Å, degrees): 8.574 4.915 7.141 90.00 113.53 90.00
Fractional positions:
Rb: 0.000 0.000 0.000
Rb: 0.500 0.500 0.000
Cd: 0.310 0.500 0.430
Cd: 0.810 0.000 0.430
In: 0.024 0.500 0.571
In: 0.524 0.000 0.571
Ag: 0.183 0.000 0.547
Ag: 0.683 0.500 0.547


Record 10
Here is a relaxed Ca2LaZn crystal from the Alexandria database. Energies are from PBE-GGA.

Calculated values
**M_tot**: 0.00 μB/cell
**D(E_F)**: 1.104 states/eV/atom
**Energy relative to the elements**: -0.041 eV per atom
**Space group**: Imm2

Lattice parameters (Å, degrees): 3.769 5.737 12.220 90.00 90.00 90.00
Fractional positions:
Ca: 0.000 0.000 0.000
Ca: 0.000 0.500 0.203
Ca: 0.500 0.000 0.703
Ca: 0.500 0.500 0.500
La: 0.000 0.500 0.801
La: 0.500 0.000 0.301
Zn: 0.000 0.000 0.503
Zn: 0.500 0.500 0.003


Record 11
Here is a relaxed LaTeRu2 crystal from the Alexandria database. Energies are from PBE-GGA.

Calculated values
**E_form (uncorrected)**: 0.1713 eV/atom
**M_tot**: 0.00 μB/cell
**D(E_F)**: 0.950 states/eV/atom
**Space group**: C2/m

Lattice parameters (Å, degrees): 6.378 9.101 3.256 90.00 120.48 90.00
Fractional positions:
La: 0.000 0.000 0.000
La: 0.500 0.500 0.000
Te: 0.000 0.500 0.000
Te: 0.500 0.000 0.000
Ru: 0.250 0.250 0.500
Ru: 0.250 0.750 0.500
Ru: 0.750 0.250 0.500
Ru: 0.750 0.750 0.500


Record 12
Here is a relaxed Te2SF crystal from the Alexandria database. Energies are from PBE-GGA.

Calculated values
**E_form (uncorrected)**: -0.1268 eV/atom
**M_tot**: 0.00 μB/cell
**D(E_F)**: 0.785 states/eV/atom
**Space group**: I-42d

Lattice parameters (Å, degrees): 7.501 7.501 6.207 90.00 90.00 90.00
Fractional positions:
Te: 0.245 0.250 0.125
Te: 0.250 0.745 0.375
Te: 0.250 0.755 0.875
Te: 0.255 0.250 0.625
Te: 0.745 0.750 0.625
Te: 0.750 0.245 0.875
Te: 0.750 0.255 0.375
Te: 0.755 0.750 0.125
S: 0.000 0.000 0.500
S: 0.000 0.500 0.750
S: 0.500 0.000 0.250
S: 0.500 0.500 0.000
F: 0.000 0.000 0.000
F: 0.000 0.500 0.250
F: 0.500 0.000 0.750
F: 0.500 0.500 0.500


Record 13
Here is a relaxed Y7HoTh3 crystal from the Alexandria database. Energies are from PBE-GGA.

Calculated values
**M_tot**: 0.00 μB/cell
**D(E_F)**: 1.434 states/eV/atom
**Energy relative to the elements**: 0.213 eV per atom
**Space group**: P3m1

Lattice parameters (Å, degrees): 7.111 7.111 8.543 90.00 90.00 120.00
Fractional positions:
Y: 0.000 0.000 0.000
Y: 0.166 0.331 0.343
Y: 0.166 0.834 0.343
Y: 0.501 0.003 0.004
Y: 0.501 0.499 0.004
Y: 0.669 0.834 0.343
Y: 0.997 0.499 0.004
Ho: 0.667 0.333 0.346
Th: 0.334 0.167 0.673
Th: 0.833 0.167 0.673
Th: 0.833 0.666 0.673


Record 14
Here is a relaxed Ac2PmNbN4 crystal from the Alexandria database. Energies are from PBE-GGA.

Calculated values
**E_form (uncorrected)**: -0.8920 eV/atom
**M_tot**: 0.00 μB/cell
**D(E_F)**: 0.393 states/eV/atom
**Space group**: Cmcm

Lattice parameters (Å, degrees): 6.458 6.458 13.375 90.00 90.00 148.01
Fractional positions:
Ac: 0.134 0.866 0.536
Ac: 0.134 0.866 0.964
Ac: 0.866 0.134 0.036
Ac: 0.866 0.134 0.464
Pm: 0.404 0.596 0.750
Pm: 0.596 0.404 0.250
Nb: 0.328 0.672 0.250
Nb: 0.672 0.328 0.750
N: 0.073 0.927 0.750
N: 0.221 0.779 0.143
N: 0.221 0.779 0.357
N: 0.500 0.500 0.000
N: 0.500 0.500 0.500
N: 0.779 0.221 0.643
N: 0.779 0.221 0.857
N: 0.927 0.073 0.250


Record 15
Here is a relaxed RbAgS2N crystal from the Alexandria database. Energies are from PBE-GGA.

Calculated values
**E_form (uncorrected)**: 0.7480 eV/atom
**M_tot**: 3.03 μB/cell
**D(E_F)**: 0.789 states/eV/atom
**Space group**: P4/mmm

Lattice parameters (Å, degrees): 5.118 5.118 4.387 90.00 90.00 90.00
Fractional positions:
Rb: 0.000 0.000 0.000
Ag: 0.500 0.500 0.500
S: 0.000 0.500 0.500
S: 0.500 0.000 0.500
N: 0.500 0.500 0.000


Record 16
Here is a relaxed Er2BiIr crystal from the Alexandria database. Energies are from PBE-GGA.

Calculated values
**M_tot**: 0.00 μB/cell
**D(E_F)**: 0.691 states/eV/atom
**Energy relative to the elements**: -0.642 eV per atom
**Space group**: R-3m

Lattice parameters (Å, degrees): 3.921 3.921 24.381 90.00 90.00 120.00
Fractional positions:
Er: 0.000 0.000 0.231
Er: 0.000 0.000 0.769
Er: 0.333 0.667 0.436
Er: 0.333 0.667 0.897
Er: 0.667 0.333 0.103
Er: 0.667 0.333 0.564
Bi: 0.000 0.000 0.000
Bi: 0.333 0.667 0.667
Bi: 0.667 0.333 0.333
Ir: 0.000 0.000 0.500
Ir: 0.333 0.667 0.167
Ir: 0.667 0.333 0.833


Record 17
Here is a relaxed Ca3TcSn crystal from the Alexandria database. Energies are from PBE-GGA.

Calculated values
**M_tot**: 3.12 μB/cell
**D(E_F)**: 0.492 states/eV/atom
**Energy relative to the elements**: 0.752 eV per atom
**Space group**: Pm-3m

Lattice parameters (Å, degrees): 5.872 5.872 5.872 90.00 90.00 90.00
Fractional positions:
Ca: 0.000 0.000 0.500
Ca: 0.000 0.500 0.000
Ca: 0.500 0.000 0.000
Tc: 0.500 0.500 0.500
Sn: 0.000 0.000 0.000


Record 18
Here is a relaxed AcDyEr2Sb4 crystal from the Alexandria database. Energies are from PBE-GGA.

Calculated values
**E_form (uncorrected)**: -1.0983 eV/atom
**M_tot**: 0.00 μB/cell
**D(E_F)**: 0.137 states/eV/atom
**Space group**: P2/m

Lattice parameters (Å, degrees): 7.751 4.483 7.758 90.00 109.45 90.00
Fractional positions:
Ac: 0.000 0.000 0.000
Dy: 0.000 0.500 0.500
Er: 0.500 0.000 0.500
Er: 0.500 0.500 0.000
Sb: 0.260 0.000 0.743
Sb: 0.268 0.500 0.267
Sb: 0.732 0.500 0.733
Sb: 0.740 0.000 0.257


Record 19
Here is a relaxed Pm4ZnCl5 crystal from the Alexandria database. Energies are from PBE-GGA.

Calculated values
**E_form (uncorrected)**: -1.5653 eV/atom
**M_tot**: 0.00 μB/cell
**D(E_F)**: 0.307 states/eV/atom
**Space group**: C2/m

Lattice parameters (Å, degrees): 9.246 9.246 8.578 102.85 102.85 24.61
Fractional positions:
Pm: 0.000 0.000 0.242
Pm: 0.000 0.000 0.758
Pm: 0.341 0.341 0.914
Pm: 0.659 0.659 0.086
Zn: 0.500 0.500 0.000
Cl: 0.166 0.166 0.324
Cl: 0.171 0.171 0.845
Cl: 0.500 0.500 0.500
Cl: 0.829 0.829 0.155
Cl: 0.834 0.834 0.676


Record 20
Here is a relaxed Sr2MgTlO4 crystal from the Alexandria database. Energies are from PBE-GGA.

Calculated values
**E_form (uncorrected)**: -2.0227 eV/atom
**M_tot**: 0.00 μB/cell
**D(E_F)**: 0.439 states/eV/atom
**Space group**: I-4

Lattice parameters (Å, degrees): 5.565 5.565 9.642 90.00 90.00 90.00
Fractional positions:
Sr: 0.000 0.000 0.000
Sr: 0.000 0.500 0.250
Sr: 0.500 0.000 0.750
Sr: 0.500 0.500 0.500
Mg: 0.000 0.000 0.500
Mg: 0.500 0.500 0.000
Tl: 0.000 0.500 0.750
Tl: 0.500 0.000 0.250
O: 0.218 0.221 0.610
O: 0.221 0.782 0.390
O: 0.279 0.718 0.890
O: 0.282 0.279 0.110
O: 0.718 0.721 0.110
O: 0.721 0.282 0.890
O: 0.779 0.218 0.390
O: 0.782 0.779 0.610